The following is a PBE calculation of a geometry-optimized La2YTl structure, from Alexandria.

Cell: 6.9906 5.4189 6.9931 Å, 90.00 102.58 90.00°
Atoms (fractional coordinates):
La1 0.0771 0.2500 0.3440
La2 0.4038 0.7500 0.6114
La3 0.5962 0.2500 0.3886
La4 0.9229 0.7500 0.6560
Y1 0.2431 0.2500 0.8883
Y2 0.7569 0.7500 0.1117
Tl1 0.2719 0.7500 0.1192
Tl2 0.7281 0.2500 0.8808

Summary:
* total energy: -4.8633 eV/atom
* calculated volume: 32.318 A^3/atom
* total magnetization: 0.000 μB per cell
* ρ: 7.34 g/cm³